Density functional theory data (PBE with a Hubbard U) for a geometry-optimized PrV2CrO8 structure.

a = 5.785 Å, b = 5.785 Å, c = 6.148 Å
α = 90.00°, β = 90.00°, γ = 120.00°
Element x y z (fractional)
Pr1 0.000 0.000 0.000
V1 0.333 0.667 0.626
V2 0.667 0.333 0.374
Cr1 0.000 0.000 0.500
O1 0.160 0.321 0.709
O2 0.160 0.840 0.709
O3 0.321 0.160 0.291
O4 0.333 0.667 0.362
O5 0.667 0.333 0.638
O6 0.679 0.840 0.709
O7 0.840 0.160 0.291
O8 0.840 0.679 0.291

Properties
space-group type = P-3m1
electronic total energy = -92.5 eV for the cell shown
calculated volume = 14.85 Å³/atom
density of states at the Fermi level = 0.00 states/eV per cell